This record from the Alexandria database describes a relaxed structure of LaPt2Au. The functional is GGA-PBEsol.

Properties
energy = -6.301 eV/atom
crystal system = tetragonal
energy relative to the elements = -502 meV per atom
density = 15.3 g cm⁻³
size of the total moment = 0.00 μB/f.u.

Geometry as CIF:
```
data_LaPt2Au
_chemical_formula_sum 'La1 Pt2 Au1'
_cell_length_a 3.7209
_cell_length_b 3.7209
_cell_length_c 5.6822
_cell_angle_alpha 90.00
_cell_angle_beta 90.00
_cell_angle_gamma 90.00
_symmetry_space_group_name_H-M 'P 4 m m'
_symmetry_Int_Tables_number 99
loop_
_symmetry_equiv_pos_as_xyz
'x,y,z'
'-y,x,z'
'-x,-y,z'
'y,-x,z'
'-x,y,z'
'y,x,z'
'x,-y,z'
'-y,-x,z'
loop_
_atom_site_label
_atom_site_type_symbol
_atom_site_fract_x
_atom_site_fract_y
_atom_site_fract_z
_atom_site_occupancy
La1 La 0.0000 0.0000 0.0000 1
Pt1 Pt 0.0000 0.0000 0.4945 1
Pt2 Pt 0.5000 0.5000 0.2360 1
Au1 Au 0.5000 0.5000 0.7069 1
```